[1]
## Tl2WBr (PBE-GGA)

Data for a relaxed structure of Tl2WBr.

Cell: 5.5813 5.5813 7.0000 Å, 111.57 111.57 32.47°
Element x y z (fractional)
Tl: 0.0000 0.0000 0.0000
Tl: 0.1634 0.1634 0.6461
W: 0.4184 0.4184 0.6107
Br: 0.8212 0.8212 0.3004

Values from the calculation:
excess energy over the best structure of this formula in the dataset: 119.2 meV per atom
energy relative to the elements, uncorrected: 0.60 eV/atom

[2]
## BaHoAg (PBE-GGA)

Data for a relaxed structure of BaHoAg.

Cell: 7.3764 7.3764 7.3764 Å, 149.59 149.59 43.54°
Element x y z (fractional)
Ba: 0.0000 0.0000 0.0000
Ho: 0.2719 0.2719 0.0000
Ag: 0.6753 0.6753 0.0000

Values from the calculation:
formation energy from the elements: -0.078 eV/atom
excess energy over the best structure of this formula in the dataset: 46.8 meV per atom

[3]
## GaMo3 (PBE-GGA)

Data for a relaxed structure of GaMo3.

Cell: 4.9732 4.9732 4.9732 Å, 90.00 90.00 90.00°
Element x y z (fractional)
Ga: 0.0000 0.0000 0.0000
Ga: 0.5000 0.5000 0.5000
Mo: 0.0000 0.2500 0.5000
Mo: 0.0000 0.7500 0.5000
Mo: 0.2500 0.5000 0.0000
Mo: 0.5000 0.0000 0.2500
Mo: 0.5000 0.0000 0.7500
Mo: 0.7500 0.5000 0.0000

Values from the calculation:
formation energy from the elements: -0.176 eV/atom

[4]
## Tl2CdBi2 (PBE-GGA)

Data for a relaxed structure of Tl2CdBi2.

Cell: 9.6086 9.6086 3.5214 Å, 90.00 90.00 90.00°
Element x y z (fractional)
Tl: 0.1409 0.3591 0.0000
Tl: 0.3591 0.8591 0.0000
Tl: 0.6409 0.1409 0.0000
Tl: 0.8591 0.6409 0.0000
Cd: 0.0000 0.0000 0.0000
Cd: 0.5000 0.5000 0.0000
Bi: 0.1569 0.6569 0.5000
Bi: 0.3431 0.1569 0.5000
Bi: 0.6569 0.8431 0.5000
Bi: 0.8431 0.3431 0.5000

Values from the calculation:
formation energy from the elements: 0.152 eV/atom
excess energy over the best structure of this formula in the dataset: 151.6 meV per atom

[5]
## ZrAg2Pb (PBE-GGA)

Data for a relaxed structure of ZrAg2Pb.

Cell: 5.4889 5.4889 5.4889 Å, 133.62 133.62 67.69°
Element x y z (fractional)
Zr: 0.0000 0.0000 0.0000
Ag: 0.2500 0.7500 0.5000
Ag: 0.7500 0.2500 0.5000
Pb: 0.5000 0.5000 0.0000

Values from the calculation:
formation energy from the elements: 0.020 eV/atom

[6]
## SmMgGa4Pd2 (PBE-GGA)

Data for a relaxed structure of SmMgGa4Pd2.

Cell: 9.1946 9.1946 9.1946 Å, 27.53 27.53 27.53°
Element x y z (fractional)
Sm: 0.0000 0.0000 0.0000
Mg: 0.5000 0.5000 0.5000
Ga: 0.1207 0.1207 0.1207
Ga: 0.3947 0.3947 0.3947
Ga: 0.6053 0.6053 0.6053
Ga: 0.8793 0.8793 0.8793
Pd: 0.2308 0.2308 0.2308
Pd: 0.7692 0.7692 0.7692

Values from the calculation:
formation energy from the elements: -0.559 eV/atom

Final energy
In order: -4.24, -3.20, -9.06, -2.53, -4.47, -4.16
Unit: eV/atom